Here is Rb2TaAg after structural relaxation from the Alexandria database. Energies are from PBE.

total magnetic moment: 8.04 μB/cell
energy above the lowest structure with this stoichiometry: 0.000 kcal/mol of atoms
space group: I-42d (122)
energy of formation from the pure elements: 1.37 eV/atom

```
8
Lattice="-6.3622 6.3622 2.6930 6.3622 -6.3622 2.6930 6.3622 6.3622 -2.6930" Properties=species:S:1:pos:R:3 pbc="T T T"
Rb 1.2186 3.1811 0.6732
Rb -3.1811 5.1436 2.0197
Rb -1.2186 9.5433 0.6732
Rb 3.1811 7.5808 2.0197
Ta 6.3622 0.0000 1.3465
Ta 0.0000 0.0000 2.6930
Ag 0.0000 0.0000 0.0000
Ag 0.0000 6.3622 1.3465
```